Entry 1:
# LuThHg (PBE, optimized geometry)
# Electronic total energy in eV per cell: -47.63
data_LuThHg
_chemical_formula_sum 'Lu4 Th4 Hg4'
_space_group_name_H-M_alt 'P 1'
_space_group_IT_number 1
_space_group_name_Hall 'P 1'
_cell_length_a 7.246
_cell_length_b 7.246
_cell_length_c 7.246
_cell_angle_alpha 90.00
_cell_angle_beta 90.00
_cell_angle_gamma 90.00
loop_
_atom_site_label
_atom_site_type_symbol
_atom_site_fract_x
_atom_site_fract_y
_atom_site_fract_z
Lu1 Lu 0.000 0.000 0.000
Lu2 Lu 0.000 0.500 0.500
Lu3 Lu 0.500 0.000 0.500
Lu4 Lu 0.500 0.500 0.000
Th1 Th 0.000 0.000 0.500
Th2 Th 0.000 0.500 0.000
Th3 Th 0.500 0.000 0.000
Th4 Th 0.500 0.500 0.500
Hg1 Hg 0.250 0.250 0.250
Hg2 Hg 0.250 0.750 0.750
Hg3 Hg 0.750 0.250 0.750
Hg4 Hg 0.750 0.750 0.250

Entry 2:
# TmLu6Hg (PBE, optimized geometry)
# Electronic total energy in eV per cell: -32.12
data_TmLu6Hg
_chemical_formula_sum 'Tm1 Lu6 Hg1'
_space_group_name_H-M_alt 'P 1'
_space_group_IT_number 1
_space_group_name_Hall 'P 1'
_cell_length_a 6.905
_cell_length_b 6.905
_cell_length_c 5.455
_cell_angle_alpha 90.00
_cell_angle_beta 90.00
_cell_angle_gamma 120.00
loop_
_atom_site_label
_atom_site_type_symbol
_atom_site_fract_x
_atom_site_fract_y
_atom_site_fract_z
Tm1 Tm 0.000 0.000 0.000
Lu1 Lu 0.002 0.501 0.000
Lu2 Lu 0.327 0.163 0.500
Lu3 Lu 0.499 0.501 0.000
Lu4 Lu 0.499 0.998 0.000
Lu5 Lu 0.837 0.163 0.500
Lu6 Lu 0.837 0.673 0.500
Hg1 Hg 0.333 0.667 0.500

Entry 3:
# TmLuHg (PBE, optimized geometry)
# Electronic total energy in eV per cell: -38.73
data_TmLuHg
_chemical_formula_sum 'Tm4 Lu4 Hg4'
_space_group_name_H-M_alt 'P 1'
_space_group_IT_number 1
_space_group_name_Hall 'P 1'
_cell_length_a 7.079
_cell_length_b 7.079
_cell_length_c 7.079
_cell_angle_alpha 90.00
_cell_angle_beta 90.00
_cell_angle_gamma 90.00
loop_
_atom_site_label
_atom_site_type_symbol
_atom_site_fract_x
_atom_site_fract_y
_atom_site_fract_z
Tm1 Tm 0.000 0.000 0.000
Tm2 Tm 0.000 0.500 0.500
Tm3 Tm 0.500 0.000 0.500
Tm4 Tm 0.500 0.500 0.000
Lu1 Lu 0.000 0.000 0.500
Lu2 Lu 0.000 0.500 0.000
Lu3 Lu 0.500 0.000 0.000
Lu4 Lu 0.500 0.500 0.500
Hg1 Hg 0.250 0.250 0.750
Hg2 Hg 0.250 0.750 0.250
Hg3 Hg 0.750 0.250 0.250
Hg4 Hg 0.750 0.750 0.750

M_tot values, unit μB per cell, following the record order: 3.6; 0.9; 0.0.
Volume values, unit Å³/f.u., following the record order: 95.1; 225.3; 88.7.